# KV2BiO6 | Alexandria via LeMat-Bulk | PBE with a Hubbard U | optimized geometry
data_KV2BiO6
_space_group_name_H-M_alt 'P 1'
_space_group_IT_number 1
_space_group_name_Hall 'P 1'
_cell_length_a 7.4721
_cell_length_b 7.4721
_cell_length_c 6.0915
_cell_angle_alpha 100.70
_cell_angle_beta 100.70
_cell_angle_gamma 87.22
loop_
_atom_site_label
_atom_site_fract_x
_atom_site_fract_y
_atom_site_fract_z
K1 0.1866 0.8134 0.2500
K2 0.8134 0.1866 0.7500
V1 0.2945 0.1200 0.7858
V2 0.8800 0.7055 0.7142
V3 0.7055 0.8800 0.2142
V4 0.1200 0.2945 0.2858
Bi1 0.5976 0.4024 0.2500
Bi2 0.4024 0.5976 0.7500
O1 0.9065 0.3896 0.1989
O2 0.6104 0.0935 0.3011
O3 0.0935 0.6104 0.8011
O4 0.3896 0.9065 0.6989
O5 0.1721 0.1389 0.0234
O6 0.8611 0.8279 0.4766
O7 0.8279 0.8611 0.9766
O8 0.1389 0.1721 0.5234
O9 0.3101 0.4596 0.3638
O10 0.5404 0.6899 0.1362
O11 0.6899 0.5404 0.6362
O12 0.4596 0.3101 0.8638
# Calculated total energy, eV per cell: -134.839
# Crystal system: monoclinic
# Space group: C2/c, No. 15
# Volume, Å³/atom: 16.42
# Magnetization, μB per atom: 0.2000